1.
Material: Y2SbPb
Method: DFT, PBE-GGA
State: optimized geometry

Cell and atoms, written as POSCAR:
```
Y2SbPb
1.0
-2.241 2.241 5.537
2.241 -2.241 5.537
2.241 2.241 -5.537
Y Sb Pb
2 1 1
direct
0.000 0.000 0.000 Y
0.750 0.250 0.500 Y
0.250 0.750 0.500 Sb
0.500 0.500 0.000 Pb
```

## Properties
Energy above the most stable polymorph in this dataset = 0.130 eV per atom
Symmetry = I-4m2, No. 119
VASP energy = -5.9016 eV/atom


2.
Material: YSb2Pb
Method: DFT, PBE-GGA
State: optimized geometry

Cell and atoms, written as POSCAR:
```
YSb2Pb
1.0
0.000 3.860 3.860
3.860 0.000 3.860
3.860 3.860 0.000
Y Sb Pb
1 2 1
direct
0.000 0.000 0.000 Y
0.250 0.250 0.250 Sb
0.500 0.500 0.500 Sb
0.750 0.750 0.750 Pb
```

## Properties
Symmetry = F-43m, No. 216
VASP energy = -4.7315 eV/atom


3.
Material: Y2SbPb
Method: DFT, PBE-GGA
State: optimized geometry

Cell and atoms, written as POSCAR:
```
Y2SbPb
1.0
3.388 -4.116 0.000
3.388 4.116 0.000
0.000 0.000 3.996
Y Sb Pb
2 1 1
direct
0.000 0.500 0.000 Y
0.500 0.000 0.000 Y
0.000 0.000 0.500 Sb
0.500 0.500 0.500 Pb
```

## Properties
Energy above the most stable polymorph in this dataset = 0.212 eV per atom
Symmetry = Cmmm, No. 65
VASP energy = -5.8196 eV/atom


4.
Material: YSbPb2
Method: DFT, PBE-GGA
State: optimized geometry

Cell and atoms, written as POSCAR:
```
YSbPb2
1.0
2.114 -2.858 0.000
2.114 2.858 0.000
0.000 0.000 9.768
Y Sb Pb
1 1 2
direct
0.000 0.000 0.000 Y
0.000 0.000 0.500 Sb
0.500 0.500 0.251 Pb
0.500 0.500 0.749 Pb
```

## Properties
Symmetry = Cmmm, No. 65
VASP energy = -4.5348 eV/atom


5.
Material: YSbPb2
Method: DFT, PBE-GGA
State: optimized geometry

Cell and atoms, written as POSCAR:
```
YSbPb2
1.0
2.295 -2.770 0.000
2.295 2.770 0.000
0.000 0.000 9.398
Y Sb Pb
1 1 2
direct
0.000 0.000 0.000 Y
0.500 0.500 0.215 Sb
0.000 0.000 0.488 Pb
0.500 0.500 0.750 Pb
```

## Properties
Symmetry = Cmm2, No. 35
VASP energy = -4.7648 eV/atom


6.
Material: YSb2Pb
Method: DFT, PBE-GGA
State: optimized geometry

Cell and atoms, written as POSCAR:
```
YSb2Pb
1.0
2.239 -2.844 0.000
2.239 2.844 0.000
0.000 0.000 9.041
Y Sb Pb
1 2 1
direct
0.000 0.000 0.000 Y
0.000 0.000 0.515 Sb
0.500 0.500 0.774 Sb
0.500 0.500 0.263 Pb
```

## Properties
Symmetry = Cmm2, No. 35
VASP energy = -4.7499 eV/atom


| no. | formation energy from raw total energies (eV per atom) |
| --- | --- |
| 1 | -0.712 |
| 2 | -0.127 |
| 3 | -0.630 |
| 4 | -0.034 |
| 5 | -0.264 |
| 6 | -0.146 |